Compound: La2PmN2Cl2
Source: the Alexandria database
Functional: GGA-PBE
Structure: relaxed

Computed properties:
Uncorrected formation energy (eV per atom): -1.46
E (eV/atom): -6.449
Symmetry: No. 139

CIF file:
```
data_La2PmN2Cl2
_chemical_formula_sum 'La2 Pm1 N2 Cl2'
_symmetry_space_group_name_H-M 'P 1'
_symmetry_Int_Tables_number 1
_symmetry_space_group_name_Hall 'P 1'
_cell_length_a 4.653
_cell_length_b 4.653
_cell_length_c 8.257
_cell_angle_alpha 106.37
_cell_angle_beta 106.37
_cell_angle_gamma 90.00
loop_
_atom_site_label
_atom_site_type_symbol
_atom_site_fract_x
_atom_site_fract_y
_atom_site_fract_z
La1 La 0.400 0.400 0.800
La2 La 0.600 0.600 0.200
N1 N 0.500 0.000 0.000
N2 N 0.000 0.500 0.000
Pm1 Pm 0.000 0.000 0.000
Cl1 Cl 0.810 0.810 0.621
Cl2 Cl 0.190 0.190 0.379
```